Density functional theory data (GGA-PBE) for a relaxed IrRu2Pb crystal.

* magnetic moment: 0.000 μB per atom
* ΔH_f (0 K): 1.74 eV per formula unit

Lattice parameters (Å, degrees): 4.7560 4.7560 5.1437 79.30 79.30 35.72
Closest atoms and distances in Å follow each position.
Atoms (fractional coordinates):
Ir 0.2500 0.2500 0.2500  6 Ru 2.69-2.74, 2 Ir 2.92, 4 Pb 2.96
Pb 0.7500 0.7500 0.7500  6 Ru 2.89, 2 Pb 2.92, 4 Ir 2.96
Ru 0.9939 0.9939 0.0395  4 Ru 2.63-2.92, 3 Ir 2.69-2.74, 3 Pb 2.89
Ru 0.5061 0.5061 0.4605  4 Ru 2.63-2.92, 3 Ir 2.69-2.74, 3 Pb 2.89